This record from Alexandria via LeMat-Bulk describes a geometry-optimized Sc6BeRh5 structure. The functional is PBE-GGA.

Structure (POSCAR):
```
Sc6BeRh5
1.0
-2.147 -3.127 2.519
1.233 -4.463 -4.491
6.361 2.269 4.125
Sc Be Rh
6 1 5
Direct
0.833 0.584 0.667
0.833 0.083 0.667
0.500 0.750 0.000
0.500 0.250 0.000
0.167 0.917 0.333
0.167 0.416 0.333
0.000 0.000 0.000
0.665 0.165 0.330
0.333 0.333 0.666
0.000 0.500 0.000
0.667 0.667 0.334
0.335 0.835 0.670
```

energy relative to the elements: -0.84 eV per atom
symmetry: Immm (71)
magnetization: 0.0 μB per formula unit
volume: 201.5 Å³/cell
energy: -7.381 eV/atom